# 1
Zn2Co at its PBEsol-relaxed geometry, computed with meta-GGA SCAN.

a b c (Å): 2.788 4.074 6.463
angles (deg): 90.00 102.45 90.00
Positions (direct):
Zn 0.062 0.750 0.125
Zn 0.938 0.250 0.875
Zn 0.733 0.750 0.466
Zn 0.267 0.250 0.534
Co 0.398 0.750 0.797
Co 0.602 0.250 0.203

## Properties
As for the density of states at the Fermi level: 0.52 states/eV/atom. The value obtained for the total magnetic moment is 0.00 μB per cell. Its space group is Cmcm, No. 63. The calculated formation energy is 73 meV per atom.



# 2
ZnCo2 at its PBEsol-relaxed geometry, computed with meta-GGA SCAN.

a b c (Å): 3.541 3.541 10.926
angles (deg): 99.33 99.33 90.00
Positions (direct):
Co 0.751 0.751 0.501
Co 0.249 0.249 0.499
Co 0.001 0.501 0.001
Co 0.499 0.999 0.999
Co 0.581 0.581 0.161
Co 0.419 0.419 0.839
Co 0.831 0.331 0.661
Co 0.669 0.169 0.339
Zn 0.918 0.918 0.836
Zn 0.082 0.082 0.164
Zn 0.168 0.668 0.336
Zn 0.332 0.832 0.664

## Properties
As for the density of states at the Fermi level: 0.78 states/eV/atom. The value obtained for the total magnetic moment is 13.90 μB per cell. Its space group is I4_1/amd, No. 141. The calculated formation energy is 62 meV per atom.